A geometry-optimized ErPaAs2O8 structure. Source: Alexandria via LeMat-Bulk, functional PBE.

abc: 6.0412 6.0412 6.0412
angles: 107.98 107.98 112.50
Atoms (fractional coordinates):
Er (0.2500, 0.7500, 0.5000)
Pa (0.0000, 0.0000, 0.0000)
As (0.7500, 0.2500, 0.5000)
As (0.5000, 0.5000, 0.0000)
O (0.3418, 0.0388, 0.3031)
O (0.3281, 0.5082, 0.1801)
O (0.3281, 0.1480, 0.8199)
O (0.7357, 0.0388, 0.6969)
O (0.8520, 0.6719, 0.1801)
O (0.9612, 0.2643, 0.3031)
O (0.9612, 0.6582, 0.6969)
O (0.4918, 0.6719, 0.8199)

SG ... No. 119

A geometry-optimized ErAsPb2O6 structure. Source: Alexandria via LeMat-Bulk, functional PBE.

abc: 5.7393 5.7393 10.9758
angles: 74.84 74.84 60.00
Atoms (fractional coordinates):
Er (0.5900, 0.5900, 0.2301)
Er (0.4100, 0.4100, 0.7699)
As (0.0000, 0.0000, 0.0000)
As (0.5000, 0.5000, 0.5000)
Pb (0.8509, 0.8509, 0.4474)
Pb (0.1491, 0.1491, 0.5526)
Pb (0.6957, 0.6957, 0.9130)
Pb (0.3043, 0.3043, 0.0870)
O (0.8396, 0.3837, 0.3931)
O (0.3837, 0.8396, 0.3931)
O (0.3837, 0.3837, 0.3931)
O (0.1604, 0.6163, 0.6069)
O (0.6163, 0.1604, 0.6069)
O (0.6163, 0.6163, 0.6069)
O (0.7167, 0.1911, 0.9010)
O (0.1911, 0.7167, 0.9010)
O (0.1911, 0.1911, 0.9010)
O (0.2833, 0.8089, 0.0990)
O (0.8089, 0.2833, 0.0990)
O (0.8089, 0.8089, 0.0990)

SG ... No. 166

A geometry-optimized ErAsPbO5 structure. Source: Alexandria via LeMat-Bulk, functional PBE.

abc: 6.1234 6.1234 7.8284
angles: 104.04 104.04 107.36
Atoms (fractional coordinates):
Er (0.0000, 0.0000, 0.5000)
Er (0.0000, 0.0000, 0.0000)
As (0.6815, 0.3185, 0.2500)
As (0.3185, 0.6815, 0.7500)
Pb (0.3105, 0.6895, 0.2500)
Pb (0.6895, 0.3105, 0.7500)
O (0.0885, 0.9115, 0.2500)
O (0.9115, 0.0885, 0.7500)
O (0.8882, 0.3177, 0.1299)
O (0.1118, 0.6823, 0.8701)
O (0.6823, 0.1118, 0.3701)
O (0.3177, 0.8882, 0.6299)
O (0.7616, 0.5978, 0.4129)
O (0.2384, 0.4022, 0.5871)
O (0.4022, 0.2384, 0.0871)
O (0.5978, 0.7616, 0.9129)

SG ... No. 15

A geometry-optimized Er3AsPbO structure. Source: Alexandria via LeMat-Bulk, functional PBE.

abc: 4.0039 8.8723 8.8656
angles: 102.28 90.00 90.00
Atoms (fractional coordinates):
Er (0.2500, 0.8420, 0.4854)
Er (0.7500, 0.8820, 0.1529)
Er (0.7500, 0.4228, 0.1584)
Er (0.7500, 0.1580, 0.5146)
Er (0.2500, 0.5772, 0.8416)
Er (0.2500, 0.1180, 0.8471)
As (0.2500, 0.6515, 0.1692)
As (0.7500, 0.3485, 0.8308)
Pb (0.7500, 0.8245, 0.7784)
Pb (0.2500, 0.1755, 0.2216)
O (0.2500, 0.0884, 0.5925)
O (0.7500, 0.9116, 0.4075)

SG ... No. 11

A geometry-optimized PmErAs2O8 structure. Source: Alexandria via LeMat-Bulk, functional PBE.

abc: 5.0809 5.0809 6.7576
angles: 112.08 112.08 90.00
Atoms (fractional coordinates):
Pm (0.7500, 0.2500, 0.5000)
Er (0.0000, 0.0000, 0.0000)
As (0.5000, 0.5000, 0.0000)
As (0.2500, 0.7500, 0.5000)
O (0.7284, 0.8280, 0.1534)
O (0.4250, 0.3255, 0.1534)
O (0.5821, 0.6900, 0.6611)
O (0.0790, 0.9711, 0.6611)
O (0.0289, 0.4179, 0.3389)
O (0.3100, 0.9210, 0.3389)
O (0.1720, 0.5750, 0.8466)
O (0.6745, 0.2716, 0.8466)

SG ... No. 82

A geometry-optimized PrErAs2O8 structure. Source: Alexandria via LeMat-Bulk, functional PBE.

abc: 5.1084 5.1084 6.8110
angles: 112.03 112.03 90.00
Atoms (fractional coordinates):
Pr (0.7500, 0.2500, 0.5000)
Er (0.0000, 0.0000, 0.0000)
As (0.5000, 0.5000, 0.0000)
As (0.2500, 0.7500, 0.5000)
O (0.7273, 0.8256, 0.1508)
O (0.4235, 0.3252, 0.1508)
O (0.5816, 0.6953, 0.6616)
O (0.0800, 0.9664, 0.6616)
O (0.0336, 0.4184, 0.3384)
O (0.3047, 0.9200, 0.3384)
O (0.1744, 0.5765, 0.8492)
O (0.6748, 0.2727, 0.8492)

SG ... No. 82

A geometry-optimized ErPuAsO2 structure. Source: Alexandria via LeMat-Bulk, functional PBE.

abc: 3.7810 3.7810 6.7182
angles: 106.34 106.34 90.00
Each line ends with the local moment (μB).
Atoms (fractional coordinates):
Er (0.1544, 0.1544, 0.3088)  -0.01
Pu (0.8507, 0.8507, 0.7014)  4.69
As (0.4982, 0.4982, 0.9965)  -0.10
O (0.7484, 0.2484, 0.4967)  -0.06
O (0.2484, 0.7484, 0.4967)  -0.06

SG ... No. 107

A geometry-optimized Rb2ErAs2O6 structure. Source: Alexandria via LeMat-Bulk, functional PBE.

abc: 6.0043 5.9101 7.3294
angles: 111.87 90.00 120.53
Each line ends with the local moment (μB).
Atoms (fractional coordinates):
Rb (0.7158, 0.4315, 0.1842)  0.00
Rb (0.2842, 0.5685, 0.8158)  0.00
Er (0.5000, 0.0000, 0.5000)  0.05
As (0.9290, 0.8580, 0.7778)  0.14
As (0.0710, 0.1420, 0.2222)  0.14
O (0.7424, 0.4848, 0.6076)  0.12
O (0.2231, 0.9757, 0.2727)  0.05
O (0.2474, 0.0243, 0.7273)  0.05
O (0.7769, 0.0243, 0.7273)  0.05
O (0.7526, 0.9757, 0.2727)  0.05
O (0.2576, 0.5152, 0.3924)  0.12

SG ... No. 12

A geometry-optimized ErScAsO2 structure. Source: Alexandria via LeMat-Bulk, functional PBE.

abc: 3.6700 3.6700 6.7315
angles: 105.82 105.82 90.00
Atoms (fractional coordinates):
Er (0.1588, 0.1588, 0.3176)
Sc (0.8333, 0.8333, 0.6667)
As (0.4975, 0.4975, 0.9951)
O (0.7552, 0.2552, 0.5103)
O (0.2552, 0.7552, 0.5103)

SG ... No. 107

A geometry-optimized SmErAsO2 structure. Source: Alexandria via LeMat-Bulk, functional PBE.

abc: 3.8190 3.8190 7.0137
angles: 105.80 105.80 90.00
Atoms (fractional coordinates):
Sm (0.8425, 0.8425, 0.6850)
Er (0.1623, 0.1623, 0.3245)
As (0.5026, 0.5026, 0.0051)
O (0.7463, 0.2463, 0.4927)
O (0.2463, 0.7463, 0.4927)

SG ... No. 107

A geometry-optimized SmErAs2O8 structure. Source: Alexandria via LeMat-Bulk, functional PBE.

abc: 5.0720 5.0720 6.7409
angles: 112.10 112.10 90.00
Atoms (fractional coordinates):
Sm (0.7500, 0.2500, 0.5000)
Er (0.0000, 0.0000, 0.0000)
As (0.5000, 0.5000, 0.0000)
As (0.2500, 0.7500, 0.5000)
O (0.7287, 0.8287, 0.1543)
O (0.4255, 0.3255, 0.1543)
O (0.5823, 0.6884, 0.6609)
O (0.0786, 0.9725, 0.6609)
O (0.0275, 0.4177, 0.3391)
O (0.3116, 0.9214, 0.3391)
O (0.1713, 0.5745, 0.8457)
O (0.6745, 0.2713, 0.8457)

SG ... No. 82

A geometry-optimized TbErAsO2 structure. Source: Alexandria via LeMat-Bulk, functional PBE.

abc: 3.7834 3.7834 6.9451
angles: 105.81 105.81 90.00
Atoms (fractional coordinates):
Tb (0.8405, 0.8405, 0.6810)
Er (0.1615, 0.1615, 0.3230)
As (0.5011, 0.5011, 0.0023)
O (0.7484, 0.2484, 0.4968)
O (0.2484, 0.7484, 0.4968)

SG ... No. 107

no.,Fermi-level density of states (states/eV/atom),energy (eV/atom)
1,0.000,-7.61
2,0.000,-6.37
3,0.000,-6.75
4,0.258,-6.14
5,0.000,-7.20
6,0.000,-7.18
7,1.923,-9.19
8,0.149,-6.07
9,0.345,-7.71
10,0.425,-7.42
11,0.000,-7.20
12,0.407,-7.45